The following is a DFT calculation (GGA+U) of NbMoAu2F after structural relaxation.

uncorrected energy	-4.416	eV/atom
total moment	0.25	μB/f.u.
space-group type	No. 123

a = 4.734 Å, b = 3.932 Å, c = 4.734 Å
α = 90.00°, β = 90.00°, γ = 90.00°
Positions (direct):
Mo 0.000 0.500 0.000
Au 0.000 0.000 0.500
Au 0.500 0.000 0.000
Nb 0.500 0.500 0.500
F 0.000 0.000 0.000